BeTlP2 | GGA-PBE | relaxed

a b c (Å): 6.5319 6.5319 6.5319
angles (deg): 90.00 90.00 90.00
With the nearest neighbours (Å) after each atom.
Space group F-43m (No. 216)
Inequivalent atoms, fractional coordinates:
Be (0.0000, 0.0000, 0.0000)  4 Tl 2.83, 4 P 2.83
Tl (0.2500, 0.2500, 0.7500)  4 Be 2.83, 4 P 2.83
P (0.0000, 0.0000, 0.5000)  4 Tl 2.83, 4 P 2.83
P (0.2500, 0.2500, 0.2500)  4 P 2.83, 4 Be 2.83

Results
Polymorph energy (0 for the lowest one), meV/atom: 826
Total magnetization, μB/cell: 0.0
E, eV for the cell shown: -53.446